The following is a SCAN calculation of a crystal of TiV3Cr2P6O24 relaxed with PBEsol, from Alexandria via LeMat-Bulk. Values from VASP.

Values from the calculation:
energy = -409.14 eV for the cell shown
symmetry = R3

Quantum ESPRESSO input file:
```
&SYSTEM
  ibrav = 0, nat = 36, ntyp = 5
/
ATOMIC_SPECIES
Ti 47.87 Ti.upf
V 50.94 V.upf
Cr 52.00 Cr.upf
P 30.97 P.upf
O 16.00 O.upf
CELL_PARAMETERS angstrom
4.2582 2.4585 6.8291
-4.2582 2.4585 6.8291
0.0000 -4.9170 6.8291
ATOMIC_POSITIONS angstrom
Ti 0.0000 0.0000 0.0000
V 0.0000 0.0000 4.3802
V 0.0000 0.0000 10.1888
V 0.0000 0.0000 14.6184
Cr 0.0000 0.0000 7.2763
Cr 0.0000 0.0000 17.5487
P -1.2601 -2.7396 9.0160
P -2.4884 0.0072 12.4042
P -1.7425 2.4611 9.0160
P 1.2380 -2.1587 12.4042
P 3.0027 0.2785 9.0160
P 1.2505 2.1514 12.4042
O -0.8840 -3.5471 7.7586
O -1.4649 -0.1279 5.7470
O -3.4333 -1.2352 12.2531
O -0.8016 -3.4565 10.2684
O -2.6299 2.5391 7.7586
O -0.6101 -1.3409 8.8020
O 0.8432 -1.2047 5.7470
O -1.6494 0.0290 11.1377
O -2.5926 2.4225 10.2684
O -0.8561 1.1988 8.8020
O 0.6216 1.3326 5.7470
O -1.6429 -0.0475 13.6660
O 0.7996 -1.4429 11.1377
O -0.8038 -1.2249 15.9949
O 1.4663 0.1420 8.8020
O 0.8625 -1.3990 13.6660
O 0.8498 1.4139 11.1377
O 2.7864 -2.3557 12.2531
O -0.6589 1.3085 15.9949
O 0.7803 1.4465 13.6660
O 3.5139 1.0080 7.7586
O 0.6469 3.5910 12.2531
O 1.4626 -0.0837 15.9949
O 3.3942 1.0341 10.2684
```

=====

The following is a SCAN calculation of a crystal of Ti3V2CrP6O24 relaxed with PBEsol, from Alexandria via LeMat-Bulk. Values from VASP.

Values from the calculation:
energy = -411.01 eV for the cell shown
symmetry = R3

Quantum ESPRESSO input file:
```
&SYSTEM
  ibrav = 0, nat = 36, ntyp = 5
/
ATOMIC_SPECIES
Ti 47.87 Ti.upf
V 50.94 V.upf
Cr 52.00 Cr.upf
P 30.97 P.upf
O 16.00 O.upf
CELL_PARAMETERS angstrom
4.2893 2.4764 6.7490
-4.2893 2.4764 6.7490
0.0000 -4.9528 6.7490
ATOMIC_POSITIONS angstrom
Ti 0.0000 0.0000 0.0000
Ti 0.0000 0.0000 4.4295
Ti 0.0000 0.0000 14.5657
V 0.0000 0.0000 7.2152
V 0.0000 0.0000 17.4056
Cr 0.0000 0.0000 10.0977
P -3.0029 0.3069 8.9641
P -1.2492 -2.1380 12.3102
P 1.2357 -2.7540 8.9641
P -1.2270 2.1508 12.3102
P 1.7672 2.4472 8.9641
P 2.4762 -0.0128 12.3102
O -3.5183 1.0104 7.7101
O -0.8942 -1.2375 5.7607
O -2.7883 -2.3505 12.1534
O -3.3765 1.1029 10.2120
O 0.8842 -3.5521 7.7101
O -1.4760 0.1293 8.7518
O -0.6246 1.3931 5.7608
O 0.7331 -3.4756 10.2120
O -0.7933 -1.4419 11.0541
O 0.6260 -1.3429 8.7518
O 1.5188 -0.1556 5.7608
O -0.8934 -1.3676 13.5846
O -0.8521 1.4080 11.0541
O -1.5130 -0.1243 15.9120
O 0.8500 1.2136 8.7518
O -0.7377 1.4575 13.5845
O 1.6454 0.0340 11.0541
O -0.6414 3.5900 12.1534
O 0.8641 -1.2481 15.9120
O 1.6310 -0.0899 13.5845
O 2.6342 2.5418 7.7101
O 3.4297 -1.2395 12.1534
O 0.6488 1.3724 15.9120
O 2.6434 2.3727 10.2120
```

=====

The following is a SCAN calculation of a crystal of TiZnCrP3O12 relaxed with PBEsol, from Alexandria via LeMat-Bulk. Values from VASP.

Values from the calculation:
energy = -400.11 eV for the cell shown
symmetry = R3c

Quantum ESPRESSO input file:
```
&SYSTEM
  ibrav = 0, nat = 36, ntyp = 5
/
ATOMIC_SPECIES
Ti 47.87 Ti.upf
Zn 65.41 Zn.upf
Cr 52.00 Cr.upf
P 30.97 P.upf
O 16.00 O.upf
CELL_PARAMETERS angstrom
4.2551 2.4567 6.8312
-4.2551 2.4567 6.8312
0.0000 -4.9134 6.8312
ATOMIC_POSITIONS angstrom
Ti 0.0000 0.0000 0.0000
Ti 0.0000 0.0000 10.2468
Zn 0.0000 0.0000 7.2840
Zn 0.0000 0.0000 17.5308
Cr 0.0000 0.0000 4.4233
Cr 0.0000 0.0000 14.6701
P -3.0176 0.2954 9.0416
P -1.2375 -2.1613 12.4572
P 1.2530 -2.7610 9.0416
P -1.2530 2.1524 12.4572
P 1.7646 2.4656 9.0416
P 2.4905 0.0089 12.4572
O -3.4975 1.0375 7.7707
O -0.8386 -1.2118 5.7506
O -2.7796 -2.3020 12.2684
O -3.3988 1.0506 10.2897
O 0.8503 -3.5476 7.7708
O -1.4755 0.1546 8.8528
O -0.6301 1.3321 5.7506
O 0.7896 -3.4688 10.2897
O -0.7576 -1.4192 11.1864
O 0.6038 -1.3551 8.8528
O 1.4687 -0.1204 5.7506
O -0.8563 -1.4061 13.7053
O -0.8503 1.3657 11.1864
O -1.4687 -0.1204 15.9974
O 0.8717 1.2005 8.8528
O -0.7896 1.4446 13.7053
O 1.6079 0.0535 11.1864
O -0.6038 3.5583 12.2684
O 0.8386 -1.2118 15.9974
O 1.6459 -0.0385 13.7053
O 2.6472 2.5102 7.7707
O 3.3834 -1.2562 12.2684
O 0.6301 1.3321 15.9974
O 2.6092 2.4182 10.2897
```

=====

The following is a SCAN calculation of a crystal of VCrP2O8 relaxed with PBEsol, from Alexandria via LeMat-Bulk. Values from VASP.

Values from the calculation:
energy = -409.43 eV for the cell shown
symmetry = R3

Quantum ESPRESSO input file:
```
&SYSTEM
  ibrav = 0, nat = 36, ntyp = 4
/
ATOMIC_SPECIES
V 50.94 V.upf
Cr 52.00 Cr.upf
P 30.97 P.upf
O 16.00 O.upf
CELL_PARAMETERS angstrom
4.2406 2.4483 6.7808
-4.2406 2.4483 6.7808
0.0000 -4.8966 6.7808
ATOMIC_POSITIONS angstrom
V 0.0000 0.0000 0.0000
V 0.0000 0.0000 4.3956
V 0.0000 0.0000 10.1751
Cr 0.0000 0.0000 7.2798
Cr 0.0000 0.0000 14.5902
Cr 0.0000 0.0000 17.4573
P -2.9969 0.2901 8.9791
P -1.2385 -2.1455 12.3830
P 1.2473 -2.7404 8.9791
P -1.2388 2.1453 12.3830
P 1.7496 2.4504 8.9791
P 2.4773 0.0002 12.3830
O -3.4561 1.0088 7.7211
O -0.8201 -1.2066 5.7677
O -2.7844 -2.3373 12.1900
O -3.3719 1.0567 10.2383
O 0.8544 -3.4975 7.7211
O -1.4550 0.1015 8.7987
O -0.6349 1.3135 5.7677
O -0.7800 -1.4510 11.1082
O 0.7709 -3.4485 10.2383
O 0.6396 -1.3108 8.7987
O 1.4550 -0.1069 5.7677
O -0.8675 -1.4055 13.6468
O -0.8666 1.4011 11.1082
O -1.4528 -0.1154 15.9524
O 0.8154 1.2094 8.7986
O -0.7835 1.4540 13.6468
O 1.6467 0.0500 11.1082
O -0.6319 3.5800 12.1899
O 0.8263 -1.2005 15.9524
O 2.6017 2.4887 7.7211
O 1.6510 -0.0485 13.6468
O 3.4163 -1.2428 12.1899
O 0.6265 1.3158 15.9524
O 2.6011 2.3919 10.2383
```

=====

The following is a SCAN calculation of a crystal of VCr3P6O24 relaxed with PBEsol, from Alexandria via LeMat-Bulk. Values from VASP.

Values from the calculation:
energy = -362.50 eV for the cell shown
symmetry = R3

Quantum ESPRESSO input file:
```
&SYSTEM
  ibrav = 0, nat = 34, ntyp = 4
/
ATOMIC_SPECIES
V 50.94 V.upf
Cr 52.00 Cr.upf
P 30.97 P.upf
O 16.00 O.upf
CELL_PARAMETERS angstrom
4.1357 2.3878 7.1312
-4.1357 2.3878 7.1312
0.0000 -4.7755 7.1312
ATOMIC_POSITIONS angstrom
V 0.0000 0.0000 0.0000
Cr 0.0000 0.0000 4.6430
Cr 0.0000 0.0000 10.7940
Cr 0.0000 0.0000 15.4249
P -1.1863 -2.7632 9.5226
P -2.3128 -0.0025 13.0538
P -1.7998 2.4090 9.5226
P 1.1585 -2.0017 13.0538
P 2.9861 0.3542 9.5226
P 1.1542 2.0042 13.0538
O -0.3240 -1.4905 3.5658
O -1.4733 -0.4926 5.6948
O -0.7092 -3.4347 8.2234
O -1.1288 1.0259 3.5658
O -3.4053 -1.0852 13.2128
O -2.6200 2.3315 8.2234
O -0.3244 -1.5117 9.7395
O 1.1632 -1.0297 5.6948
O -1.4472 -0.4757 11.8777
O 1.4529 0.4646 3.5658
O -1.1470 1.0368 9.7395
O 0.3101 1.5222 5.6948
O -1.5228 0.0622 14.3610
O -0.7143 -1.2939 16.5175
O 1.1355 -1.0155 11.8777
O 0.7075 -1.3498 14.3610
O 1.4714 0.4749 9.7395
O 0.3117 1.4911 11.8777
O -0.7634 1.2655 16.5175
O 2.6425 -2.4065 13.2128
O 0.8152 1.2877 14.3610
O 3.3291 1.1032 8.2234
O 1.4776 0.0284 16.5175
O 0.7629 3.4917 13.2128
```

=====

| no. | formation energy from raw total energies (eV per atom) |
| --- | --- |
| 1 | -2.554 |
| 2 | -2.712 |
| 3 | -2.564 |
| 4 | -2.496 |
| 5 | -2.292 |